1.
The following is a PBE-GGA calculation of crystalline Mg2TiGa at its relaxed geometry, from the Alexandria database.

Output
- VASP energy: -14.68 eV/cell
- Spin magnetization: 0.0 μB/cell
- V: 18.050 Å³/atom
- Energy of formation from the pure elements: -0.143 eV/atom

```
data_Mg2TiGa
_space_group_name_H-M_alt 'P 1'
_space_group_IT_number 1
_cell_length_a 4.347
_cell_length_b 4.076
_cell_length_c 4.076
_cell_angle_alpha 90.00
_cell_angle_beta 90.00
_cell_angle_gamma 90.00
loop_
_space_group_symop_operation_xyz
'x,y,z'
loop_
_atom_site_label
_atom_site_type_symbol
_atom_site_fract_x
_atom_site_fract_y
_atom_site_fract_z
Ga1 Ga 0.500 0.500 0.500
Ti1 Ti 0.500 0.000 0.000
Mg1 Mg 0.000 0.000 0.500
Mg2 Mg 0.000 0.500 0.000
```

***

2.
The following is a PBE-GGA calculation of crystalline Tb2CeMg2In2 at its relaxed geometry, from the Alexandria database.

Output
- VASP energy: -25.23 eV/cell
- Spin magnetization: 1.2 μB/cell
- V: 27.327 Å³/atom
- Energy of formation from the pure elements: -0.195 eV/atom

```
data_Tb2CeMg2In2
_space_group_name_H-M_alt 'P 1'
_space_group_IT_number 1
_cell_length_a 5.063
_cell_length_b 5.063
_cell_length_c 9.101
_cell_angle_alpha 73.85
_cell_angle_beta 73.85
_cell_angle_gamma 60.00
loop_
_space_group_symop_operation_xyz
'x,y,z'
loop_
_atom_site_label
_atom_site_type_symbol
_atom_site_fract_x
_atom_site_fract_y
_atom_site_fract_z
In1 In 0.263 0.263 0.212
In2 In 0.737 0.737 0.788
Tb1 Tb 0.129 0.129 0.613
Tb2 Tb 0.871 0.871 0.387
Mg1 Mg 0.598 0.598 0.207
Mg2 Mg 0.402 0.402 0.793
Ce1 Ce 0.000 0.000 0.000
```